No. 1
# Ba4AsP | Alexandria | meta-GGA SCAN | PBEsol geometry
data_Ba4AsP
_chemical_formula_sum 'Ba16 As4 P4'
_space_group_name_H-M_alt 'F -4 3 m'
_space_group_IT_number 216
_space_group_name_Hall 'F -4 2 3'
_cell_length_a 9.404
_cell_length_b 9.404
_cell_length_c 9.404
_cell_angle_alpha 90.00
_cell_angle_beta 90.00
_cell_angle_gamma 90.00
loop_
_atom_site_label
_atom_site_fract_x
_atom_site_fract_y
_atom_site_fract_z
Ba1 0.125 0.125 0.125
As1 0.250 0.250 0.750
P1 0.000 0.000 0.500
# formation enthalpy at 0 K = 0.22 eV per atom



No. 2
# BaAs2P | Alexandria | meta-GGA SCAN | PBEsol geometry
data_BaAs2P
_chemical_formula_sum 'Ba1 As2 P1'
_space_group_name_H-M_alt 'P m m m'
_space_group_IT_number 47
_space_group_name_Hall '-P 2 2'
_cell_length_a 3.734
_cell_length_b 3.902
_cell_length_c 6.336
_cell_angle_alpha 90.00
_cell_angle_beta 90.00
_cell_angle_gamma 90.00
loop_
_atom_site_label
_atom_site_fract_x
_atom_site_fract_y
_atom_site_fract_z
Ba1 0.000 0.000 0.000
As1 0.500 0.500 0.314
P1 0.000 0.000 0.500
# formation enthalpy at 0 K = -0.08 eV per atom



No. 3
# BaAsP2 | Alexandria | meta-GGA SCAN | PBEsol geometry
data_BaAsP2
_chemical_formula_sum 'Ba1 As1 P2'
_space_group_name_H-M_alt 'P 4/m m m'
_space_group_IT_number 123
_space_group_name_Hall '-P 4 2'
_cell_length_a 4.539
_cell_length_b 4.539
_cell_length_c 4.253
_cell_angle_alpha 90.00
_cell_angle_beta 90.00
_cell_angle_gamma 90.00
loop_
_atom_site_label
_atom_site_fract_x
_atom_site_fract_y
_atom_site_fract_z
Ba1 0.000 0.000 0.000
As1 0.500 0.500 0.000
P1 0.000 0.500 0.500
# formation enthalpy at 0 K = 0.08 eV per atom



No. 4
# BaAsP2 | Alexandria | meta-GGA SCAN | PBEsol geometry
data_BaAsP2
_chemical_formula_sum 'Ba2 As2 P4'
_space_group_name_H-M_alt 'C m m m'
_space_group_IT_number 65
_space_group_name_Hall '-C 2 2'
_cell_length_a 4.903
_cell_length_b 5.860
_cell_length_c 6.276
_cell_angle_alpha 90.00
_cell_angle_beta 90.00
_cell_angle_gamma 90.00
loop_
_atom_site_label
_atom_site_fract_x
_atom_site_fract_y
_atom_site_fract_z
Ba1 0.000 0.000 0.000
As1 0.000 0.000 0.500
P1 0.000 0.500 0.326
# formation enthalpy at 0 K = -0.17 eV per atom



No. 5
# BaAsP2 | Alexandria | meta-GGA SCAN | PBEsol geometry
data_BaAsP2
_chemical_formula_sum 'Ba1 As1 P2'
_space_group_name_H-M_alt 'P m m m'
_space_group_IT_number 47
_space_group_name_Hall '-P 2 2'
_cell_length_a 3.569
_cell_length_b 3.952
_cell_length_c 6.235
_cell_angle_alpha 90.00
_cell_angle_beta 90.00
_cell_angle_gamma 90.00
loop_
_atom_site_label
_atom_site_fract_x
_atom_site_fract_y
_atom_site_fract_z
Ba1 0.000 0.000 0.000
As1 0.000 0.000 0.500
P1 0.500 0.500 0.327
# formation enthalpy at 0 K = -0.16 eV per atom



No. 6
# BaAsP | Alexandria | meta-GGA SCAN | PBEsol geometry
data_BaAsP
_chemical_formula_sum 'Ba4 As4 P4'
_space_group_name_H-M_alt 'F -4 3 m'
_space_group_IT_number 216
_space_group_name_Hall 'F -4 2 3'
_cell_length_a 7.202
_cell_length_b 7.202
_cell_length_c 7.202
_cell_angle_alpha 90.00
_cell_angle_beta 90.00
_cell_angle_gamma 90.00
loop_
_atom_site_label
_atom_site_fract_x
_atom_site_fract_y
_atom_site_fract_z
Ba1 0.000 0.000 0.000
As1 0.250 0.250 0.750
P1 0.250 0.250 0.250
# formation enthalpy at 0 K = 0.24 eV per atom



No. 7
# BaAs2P | Alexandria | meta-GGA SCAN | PBEsol geometry
data_BaAs2P
_chemical_formula_sum 'Ba1 As2 P1'
_space_group_name_H-M_alt 'P 4 m m'
_space_group_IT_number 99
_space_group_name_Hall 'P 4 -2'
_cell_length_a 3.864
_cell_length_b 3.864
_cell_length_c 6.391
_cell_angle_alpha 90.00
_cell_angle_beta 90.00
_cell_angle_gamma 90.00
loop_
_atom_site_label
_atom_site_fract_x
_atom_site_fract_y
_atom_site_fract_z
Ba1 0.000 0.000 0.000
As1 0.000 0.000 0.501
As2 0.500 0.500 0.624
P1 0.500 0.500 0.266
# formation enthalpy at 0 K = -0.21 eV per atom



No. 8
# Ba2AsPb | Alexandria | meta-GGA SCAN | PBEsol geometry
data_Ba2AsPb
_chemical_formula_sum 'Ba8 As4 Pb4'
_space_group_name_H-M_alt 'F m -3 m'
_space_group_IT_number 225
_space_group_name_Hall '-F 4 2 3'
_cell_length_a 8.188
_cell_length_b 8.188
_cell_length_c 8.188
_cell_angle_alpha 90.00
_cell_angle_beta 90.00
_cell_angle_gamma 90.00
loop_
_atom_site_label
_atom_site_fract_x
_atom_site_fract_y
_atom_site_fract_z
Ba1 0.250 0.250 0.250
As1 0.000 0.000 0.000
Pb1 0.000 0.000 0.500
# formation enthalpy at 0 K = -0.73 eV per atom
# polymorph energy (0 for the lowest one) = 0.062 eV/atom



No. 9
# Ba2As2Pb | Alexandria | meta-GGA SCAN | PBEsol geometry
data_Ba2As2Pb
_chemical_formula_sum 'Ba4 As4 Pb2'
_space_group_name_H-M_alt 'I 4/m m m'
_space_group_IT_number 139
_space_group_name_Hall '-I 4 2'
_cell_length_a 5.580
_cell_length_b 5.580
_cell_length_c 11.328
_cell_angle_alpha 90.00
_cell_angle_beta 90.00
_cell_angle_gamma 90.00
loop_
_atom_site_label
_atom_site_fract_x
_atom_site_fract_y
_atom_site_fract_z
Ba1 0.000 0.500 0.250
As1 0.000 0.000 0.105
Pb1 0.000 0.000 0.500
# formation enthalpy at 0 K = -0.44 eV per atom
# polymorph energy (0 for the lowest one) = 0.513 eV/atom



No. 10
# Ba3AsPb | Alexandria | meta-GGA SCAN | PBEsol geometry
data_Ba3AsPb
_chemical_formula_sum 'Ba3 As1 Pb1'
_space_group_name_H-M_alt 'P m -3 m'
_space_group_IT_number 221
_space_group_name_Hall '-P 4 2 3'
_cell_length_a 6.199
_cell_length_b 6.199
_cell_length_c 6.199
_cell_angle_alpha 90.00
_cell_angle_beta 90.00
_cell_angle_gamma 90.00
loop_
_atom_site_label
_atom_site_fract_x
_atom_site_fract_y
_atom_site_fract_z
Ba1 0.000 0.000 0.500
As1 0.000 0.000 0.000
Pb1 0.500 0.500 0.500
# formation enthalpy at 0 K = -0.75 eV per atom



No. 11
# Ba2AsPb | Alexandria | meta-GGA SCAN | PBEsol geometry
data_Ba2AsPb
_chemical_formula_sum 'Ba8 As4 Pb4'
_space_group_name_H-M_alt 'F -4 3 m'
_space_group_IT_number 216
_space_group_name_Hall 'F -4 2 3'
_cell_length_a 8.026
_cell_length_b 8.026
_cell_length_c 8.026
_cell_angle_alpha 90.00
_cell_angle_beta 90.00
_cell_angle_gamma 90.00
loop_
_atom_site_label
_atom_site_fract_x
_atom_site_fract_y
_atom_site_fract_z
Ba1 0.000 0.000 0.000
Ba2 0.250 0.250 0.250
As1 0.250 0.250 0.750
Pb1 0.000 0.000 0.500
# formation enthalpy at 0 K = -0.35 eV per atom
# polymorph energy (0 for the lowest one) = 0.436 eV/atom